Version w
Material: CeZn3Ag
Method: DFT, PBE-GGA
State: optimized geometry

Summary:
crystal system = tetragonal

Cell: 6.418 6.418 6.418 Å, 141.90 141.90 54.98°
Element x y z (fractional)
1 Ce 0.000 0.000 0.000
2 Zn 0.236 0.736 0.500
3 Zn 0.606 0.606 0.000
4 Zn 0.736 0.236 0.500
5 Ag 0.379 0.379 0.000

---

Version x
Material: CeZn3Ag
Method: DFT, PBE-GGA
State: optimized geometry

Summary:
crystal system = orthorhombic

Cell: 5.062 5.062 5.062 Å, 122.87 103.49 102.95°
Element x y z (fractional)
1 Ce 0.000 0.000 0.000
2 Zn 0.303 0.500 0.804
3 Zn 0.696 0.500 0.196
4 Zn 0.709 0.209 0.500
5 Ag 0.306 0.806 0.500

---

version x ends up most stable, edging out the next structure by 3.6 kJ/mol of atoms.

---

Version w
Material: Ce2ZrAg
Method: DFT, PBE-GGA
State: optimized geometry

Summary:
crystal system = tetragonal

Cell: 5.569 5.569 3.272 Å, 90.00 90.00 90.00°
Element x y z (fractional)
1 Ce 0.000 0.500 0.000
2 Ce 0.500 0.000 0.000
3 Zr 0.000 0.000 0.500
4 Ag 0.500 0.500 0.500

---

Version x
Material: Ce2ZrAg
Method: DFT, PBE-GGA
State: optimized geometry

Summary:
crystal system = tetragonal

Cell: 3.146 3.146 9.856 Å, 90.00 90.00 90.00°
Element x y z (fractional)
1 Ce 0.000 0.000 0.243
2 Ce 0.000 0.000 0.757
3 Zr 0.500 0.500 0.500
4 Ag 0.500 0.500 0.000

---

Version y
Material: Ce2ZrAg
Method: DFT, PBE-GGA
State: optimized geometry

Summary:
crystal system = trigonal

Cell: 11.770 11.770 11.770 Å, 14.90 14.90 14.90°
Element x y z (fractional)
1 Ce 0.087 0.087 0.087
2 Ce 0.913 0.913 0.913
3 Zr 0.000 0.000 0.000
4 Ag 0.500 0.500 0.500

---

version x ends up most stable, edging out the next structure by 6.2 kJ/mol of atoms.

---

Version w
Material: CeZrAg
Method: DFT, PBE-GGA
State: optimized geometry

Summary:
crystal system = tetragonal

Cell: 7.356 7.356 7.356 Å, 155.40 155.40 35.07°
Element x y z (fractional)
1 Ce 0.000 0.000 0.000
2 Zr 0.324 0.324 0.000
3 Ag 0.675 0.675 0.000

---

Version x
Material: CeZrAg
Method: DFT, PBE-GGA
State: optimized geometry

Summary:
crystal system = trigonal

Cell: 5.066 5.066 3.158 Å, 90.00 90.00 120.00°
Element x y z (fractional)
1 Ce 0.000 0.000 0.000
2 Zr 0.333 0.667 0.445
3 Ag 0.667 0.333 0.587

---

version w ends up most stable, edging out the next structure by 18.5 kJ/mol of atoms.